The following is a DFT calculation (GGA-PBE) of crystalline CaMgGa2Cu5 at its relaxed geometry.

a = 4.392 Å, b = 4.392 Å, c = 7.838 Å
α = 90.00°, β = 90.00°, γ = 90.00°
Element x y z (fractional)
Ca (0.000, 0.000, 0.000)
Mg (0.000, 0.000, 0.500)
Ga (0.500, 0.500, 0.343)
Ga (0.500, 0.500, 0.657)
Cu (0.000, 0.500, 0.221)
Cu (0.000, 0.500, 0.779)
Cu (0.500, 0.000, 0.221)
Cu (0.500, 0.000, 0.779)
Cu (0.500, 0.500, 0.000)

Results
- total DFT energy (no corrections) (eV per atom) = -3.3300
- space-group type = P4/mmm
- total moment (μB per formula unit) = 0.0
- calculated formation energy (eV/atom) = 0.0179